Record 1
# GGA-PBEsol MoRu3, optimized geometry
data_MoRu3
_cell_length_a 2.714
_cell_length_b 8.607
_cell_length_c 4.707
_cell_angle_alpha 90.00
_cell_angle_beta 90.00
_cell_angle_gamma 90.00
_space_group_name_H-M_alt 'I m m 2'
_space_group_IT_number 44
_space_group_name_Hall 'I 2 -2'
loop_
_atom_site_label
_atom_site_type_symbol
_atom_site_fract_x
_atom_site_fract_y
_atom_site_fract_z
_atom_site_occupancy
Mo1 Mo 0.000 0.000 0.000 1
Ru1 Ru 0.000 0.249 0.329 1
Ru2 Ru 0.000 0.500 0.997 1
# * energy relative to the lowest polymorph listed for this composition: 0.11 eV/f.u.
# * formation energy from the elements: -0.1 eV per formula unit

=====

Record 2
# GGA-PBEsol SrAsIr, optimized geometry
data_SrAsIr
_cell_length_a 4.1614
_cell_length_b 4.1614
_cell_length_c 4.5664
_cell_angle_alpha 90.00
_cell_angle_beta 90.00
_cell_angle_gamma 120.00
_space_group_name_H-M_alt 'P -6 m 2'
_space_group_IT_number 187
_space_group_name_Hall 'P -6 2'
loop_
_atom_site_label
_atom_site_type_symbol
_atom_site_fract_x
_atom_site_fract_y
_atom_site_fract_z
_atom_site_occupancy
Sr1 Sr 0.0000 0.0000 0.0000 1
As1 As 0.6667 0.3333 0.5000 1
Ir1 Ir 0.3333 0.6667 0.5000 1
# * formation energy from the elements: -1.9 eV per formula unit

=====

Record 3
# GGA-PBEsol Fe2NiAs, optimized geometry
data_Fe2NiAs
_cell_length_a 3.621
_cell_length_b 3.621
_cell_length_c 6.851
_cell_angle_alpha 90.00
_cell_angle_beta 90.00
_cell_angle_gamma 90.00
_space_group_name_H-M_alt 'I -4 m 2'
_space_group_IT_number 119
_space_group_name_Hall 'I -4 -2'
loop_
_atom_site_label
_atom_site_type_symbol
_atom_site_fract_x
_atom_site_fract_y
_atom_site_fract_z
_atom_site_occupancy
Fe1 Fe 0.000 0.000 0.000 1
Fe2 Fe 0.000 0.500 0.250 1
Ni1 Ni 0.000 0.000 0.500 1
As1 As 0.000 0.500 0.750 1
# * formation energy from the elements: -0.2 eV per formula unit

=====

Record 4
# GGA-PBEsol CrC2, optimized geometry
data_CrC2
_cell_length_a 5.335
_cell_length_b 6.854
_cell_length_c 4.367
_cell_angle_alpha 90.00
_cell_angle_beta 98.12
_cell_angle_gamma 90.00
_space_group_name_H-M_alt 'C 1 2/m 1'
_space_group_IT_number 12
_space_group_name_Hall '-C 2y'
loop_
_atom_site_label
_atom_site_type_symbol
_atom_site_fract_x
_atom_site_fract_y
_atom_site_fract_z
_atom_site_occupancy
Cr1 Cr 0.000 0.000 0.000 1
Cr2 Cr 0.000 0.253 0.500 1
C1 C 0.221 0.394 0.255 1
C2 C 0.243 0.000 0.426 1
# * energy relative to the lowest polymorph listed for this composition: 1.12 eV/f.u.
# * formation energy from the elements: 2.9 eV per formula unit

=====

Record 5
# GGA-PBEsol Nd2Sn5, optimized geometry
data_Nd2Sn5
_cell_length_a 4.560
_cell_length_b 34.785
_cell_length_c 4.601
_cell_angle_alpha 90.00
_cell_angle_beta 90.00
_cell_angle_gamma 90.00
_space_group_name_H-M_alt 'C m m m'
_space_group_IT_number 65
_space_group_name_Hall '-C 2 2'
loop_
_atom_site_label
_atom_site_type_symbol
_atom_site_fract_x
_atom_site_fract_y
_atom_site_fract_z
_atom_site_occupancy
Nd1 Nd 0.000 0.070 0.000 1
Nd2 Nd 0.000 0.204 0.000 1
Sn1 Sn 0.000 0.000 0.500 1
Sn2 Sn 0.000 0.139 0.500 1
Sn3 Sn 0.000 0.280 0.500 1
Sn4 Sn 0.000 0.361 0.000 1
Sn5 Sn 0.000 0.429 0.500 1
Sn6 Sn 0.000 0.500 0.000 1
# * formation energy from the elements: -4.4 eV per formula unit

=====

Record 6
# GGA-PBEsol ZrPt, optimized geometry
data_ZrPt
_cell_length_a 3.392
_cell_length_b 10.306
_cell_length_c 4.269
_cell_angle_alpha 90.00
_cell_angle_beta 90.00
_cell_angle_gamma 90.00
_space_group_name_H-M_alt 'C m c m'
_space_group_IT_number 63
_space_group_name_Hall '-C 2c 2'
loop_
_atom_site_label
_atom_site_type_symbol
_atom_site_fract_x
_atom_site_fract_y
_atom_site_fract_z
_atom_site_occupancy
Zr1 Zr 0.000 0.142 0.250 1
Pt1 Pt 0.000 0.409 0.250 1
# * formation energy from the elements: -2.2 eV per formula unit

=====

Record 7
# GGA-PBEsol AlAgAs2F, optimized geometry
data_AlAgAs2F
_cell_length_a 4.705
_cell_length_b 4.705
_cell_length_c 4.894
_cell_angle_alpha 90.00
_cell_angle_beta 90.00
_cell_angle_gamma 90.00
_space_group_name_H-M_alt 'P 4/m m m'
_space_group_IT_number 123
_space_group_name_Hall '-P 4 2'
loop_
_atom_site_label
_atom_site_type_symbol
_atom_site_fract_x
_atom_site_fract_y
_atom_site_fract_z
_atom_site_occupancy
Al1 Al 0.000 0.000 0.000 1
Ag1 Ag 0.000 0.000 0.500 1
As1 As 0.000 0.500 0.000 1
F1 F 0.500 0.500 0.500 1
# * energy relative to the elements, uncorrected: 0.389 eV/atom

=====

Record 8
# GGA-PBEsol TmAu2, optimized geometry
data_TmAu2
_cell_length_a 3.633
_cell_length_b 3.633
_cell_length_c 8.839
_cell_angle_alpha 90.00
_cell_angle_beta 90.00
_cell_angle_gamma 90.00
_space_group_name_H-M_alt 'I 4/m m m'
_space_group_IT_number 139
_space_group_name_Hall '-I 4 2'
loop_
_atom_site_label
_atom_site_type_symbol
_atom_site_fract_x
_atom_site_fract_y
_atom_site_fract_z
_atom_site_occupancy
Tm1 Tm 0.000 0.000 0.000 1
Au1 Au 0.000 0.000 0.335 1
# * formation energy from the elements: -2.7 eV per formula unit

=====

Record 9
# GGA-PBEsol NaGeI3, optimized geometry
data_NaGeI3
_cell_length_a 5.759
_cell_length_b 5.759
_cell_length_c 5.759
_cell_angle_alpha 90.00
_cell_angle_beta 90.00
_cell_angle_gamma 90.00
_space_group_name_H-M_alt 'P m -3 m'
_space_group_IT_number 221
_space_group_name_Hall '-P 4 2 3'
loop_
_atom_site_label
_atom_site_type_symbol
_atom_site_fract_x
_atom_site_fract_y
_atom_site_fract_z
_atom_site_occupancy
Na1 Na 0.000 0.000 0.000 1
Ge1 Ge 0.500 0.500 0.500 1
I1 I 0.000 0.500 0.500 1
# * energy relative to the elements, uncorrected: -0.533 eV/atom

=====

Record 10
# GGA-PBEsol AlCrSn2N, optimized geometry
data_AlCrSn2N
_cell_length_a 5.136
_cell_length_b 5.136
_cell_length_c 4.826
_cell_angle_alpha 90.00
_cell_angle_beta 90.00
_cell_angle_gamma 90.00
_space_group_name_H-M_alt 'P 4/m m m'
_space_group_IT_number 123
_space_group_name_Hall '-P 4 2'
loop_
_atom_site_label
_atom_site_type_symbol
_atom_site_fract_x
_atom_site_fract_y
_atom_site_fract_z
_atom_site_occupancy
Al1 Al 0.000 0.000 0.000 1
Cr1 Cr 0.000 0.000 0.500 1
Sn1 Sn 0.000 0.500 0.000 1
N1 N 0.500 0.500 0.500 1
# * energy relative to the elements, uncorrected: 1.807 eV/atom

=====

Record 11
# GGA-PBEsol Ba2LiCa, optimized geometry
data_Ba2LiCa
_cell_length_a 4.266
_cell_length_b 4.266
_cell_length_c 9.942
_cell_angle_alpha 90.00
_cell_angle_beta 90.00
_cell_angle_gamma 90.00
_space_group_name_H-M_alt 'P 4/m m m'
_space_group_IT_number 123
_space_group_name_Hall '-P 4 2'
loop_
_atom_site_label
_atom_site_type_symbol
_atom_site_fract_x
_atom_site_fract_y
_atom_site_fract_z
_atom_site_occupancy
Ba1 Ba 0.000 0.000 0.214 1
Li1 Li 0.500 0.500 0.000 1
Ca1 Ca 0.500 0.500 0.500 1
# * energy relative to the lowest polymorph listed for this composition: 0.03 eV/f.u.
# * formation energy from the elements: 0.2 eV per formula unit

=====

Record 12
# GGA-PBEsol SiMoBr, optimized geometry
data_SiMoBr
_cell_length_a 4.4254
_cell_length_b 4.4254
_cell_length_c 2.8890
_cell_angle_alpha 90.00
_cell_angle_beta 90.00
_cell_angle_gamma 120.00
_space_group_name_H-M_alt 'P -6 m 2'
_space_group_IT_number 187
_space_group_name_Hall 'P -6 2'
loop_
_atom_site_label
_atom_site_type_symbol
_atom_site_fract_x
_atom_site_fract_y
_atom_site_fract_z
_atom_site_occupancy
Si1 Si 0.0000 0.0000 0.0000 1
Mo1 Mo 0.6667 0.3333 0.5000 1
Br1 Br 0.3333 0.6667 0.5000 1
# * energy relative to the elements, uncorrected: 0.539 eV/atom

=====

Record 13
# GGA-PBEsol Ga2SiHg, optimized geometry
data_Ga2SiHg
_cell_length_a 6.703
_cell_length_b 6.703
_cell_length_c 6.703
_cell_angle_alpha 90.00
_cell_angle_beta 90.00
_cell_angle_gamma 90.00
_space_group_name_H-M_alt 'F m -3 m'
_space_group_IT_number 225
_space_group_name_Hall '-F 4 2 3'
loop_
_atom_site_label
_atom_site_type_symbol
_atom_site_fract_x
_atom_site_fract_y
_atom_site_fract_z
_atom_site_occupancy
Ga1 Ga 0.250 0.250 0.250 1
Si1 Si 0.000 0.000 0.000 1
Hg1 Hg 0.000 0.000 0.500 1
# * energy relative to the elements, uncorrected: 0.247 eV/atom

=====

Record 14
# GGA-PBEsol Ag2TeCl, optimized geometry
data_Ag2TeCl
_cell_length_a 6.893
_cell_length_b 6.893
_cell_length_c 6.893
_cell_angle_alpha 90.00
_cell_angle_beta 90.00
_cell_angle_gamma 90.00
_space_group_name_H-M_alt 'F -4 3 m'
_space_group_IT_number 216
_space_group_name_Hall 'F -4 2 3'
loop_
_atom_site_label
_atom_site_type_symbol
_atom_site_fract_x
_atom_site_fract_y
_atom_site_fract_z
_atom_site_occupancy
Ag1 Ag 0.000 0.000 0.000 1
Ag2 Ag 0.250 0.250 0.250 1
Te1 Te 0.250 0.250 0.750 1
Cl1 Cl 0.000 0.000 0.500 1
# * energy relative to the lowest polymorph listed for this composition: 1.59 eV/f.u.
# * energy relative to the elements, uncorrected: 0.234 eV/atom

=====

Record 15
# GGA-PBEsol CrNi3, optimized geometry
data_CrNi3
_cell_length_a 4.894
_cell_length_b 7.058
_cell_length_c 2.436
_cell_angle_alpha 90.00
_cell_angle_beta 90.00
_cell_angle_gamma 90.00
_space_group_name_H-M_alt 'C m m m'
_space_group_IT_number 65
_space_group_name_Hall '-C 2 2'
loop_
_atom_site_label
_atom_site_type_symbol
_atom_site_fract_x
_atom_site_fract_y
_atom_site_fract_z
_atom_site_occupancy
Cr1 Cr 0.000 0.000 0.000 1
Ni1 Ni 0.000 0.500 0.000 1
Ni2 Ni 0.250 0.250 0.500 1
# * formation energy from the elements: 0.3 eV per formula unit

=====

Record 16
# GGA-PBEsol NaNb3As, optimized geometry
data_NaNb3As
_cell_length_a 4.608
_cell_length_b 4.608
_cell_length_c 4.608
_cell_angle_alpha 90.00
_cell_angle_beta 90.00
_cell_angle_gamma 90.00
_space_group_name_H-M_alt 'P m -3 m'
_space_group_IT_number 221
_space_group_name_Hall '-P 4 2 3'
loop_
_atom_site_label
_atom_site_type_symbol
_atom_site_fract_x
_atom_site_fract_y
_atom_site_fract_z
_atom_site_occupancy
Na1 Na 0.000 0.000 0.000 1
Nb1 Nb 0.000 0.000 0.500 1
As1 As 0.500 0.500 0.500 1
# * formation energy from the elements: 10.3 eV per formula unit

=====

Record 17
# GGA-PBEsol TcSeO2, optimized geometry
data_TcSeO2
_cell_length_a 2.8229
_cell_length_b 2.8229
_cell_length_c 22.1521
_cell_angle_alpha 90.00
_cell_angle_beta 90.00
_cell_angle_gamma 120.00
_space_group_name_H-M_alt 'R -3 m'
_space_group_IT_number 166
_space_group_name_Hall '-R 3 2"'
loop_
_atom_site_label
_atom_site_type_symbol
_atom_site_fract_x
_atom_site_fract_y
_atom_site_fract_z
_atom_site_occupancy
Tc1 Tc 0.0000 0.0000 0.0000 1
Se1 Se 0.0000 0.0000 0.5000 1
O1 O 0.0000 0.0000 0.0800 1
# * energy relative to the elements, uncorrected: -0.170 eV/atom

=====

Record 18
# GGA-PBEsol BaSr2Ca, optimized geometry
data_BaSr2Ca
_cell_length_a 4.246
_cell_length_b 5.634
_cell_length_c 8.487
_cell_angle_alpha 90.00
_cell_angle_beta 90.00
_cell_angle_gamma 90.00
_space_group_name_H-M_alt 'P m m 2'
_space_group_IT_number 25
_space_group_name_Hall 'P 2 -2'
loop_
_atom_site_label
_atom_site_type_symbol
_atom_site_fract_x
_atom_site_fract_y
_atom_site_fract_z
_atom_site_occupancy
Ba1 Ba 0.000 0.000 0.000 1
Sr1 Sr 0.000 0.000 0.484 1
Sr2 Sr 0.500 0.500 0.735 1
Ca1 Ca 0.500 0.500 0.247 1
# * energy relative to the lowest polymorph listed for this composition: 0.01 eV/f.u.
# * formation energy from the elements: 0.1 eV per formula unit

=====

Record 19
# GGA-PBEsol BaZnFeP2, optimized geometry
data_BaZnFeP2
_cell_length_a 4.643
_cell_length_b 4.643
_cell_length_c 5.581
_cell_angle_alpha 90.00
_cell_angle_beta 90.00
_cell_angle_gamma 90.00
_space_group_name_H-M_alt 'P 4/m m m'
_space_group_IT_number 123
_space_group_name_Hall '-P 4 2'
loop_
_atom_site_label
_atom_site_type_symbol
_atom_site_fract_x
_atom_site_fract_y
_atom_site_fract_z
_atom_site_occupancy
Ba1 Ba 0.000 0.000 0.000 1
Zn1 Zn 0.000 0.000 0.500 1
Fe1 Fe 0.500 0.500 0.000 1
P1 P 0.000 0.500 0.500 1
# * formation energy from the elements: 4.4 eV per formula unit

=====

Record 20
# GGA-PBEsol Ge7Ir3, optimized geometry
data_Ge7Ir3
_cell_length_a 8.673
_cell_length_b 8.673
_cell_length_c 8.673
_cell_angle_alpha 90.00
_cell_angle_beta 90.00
_cell_angle_gamma 90.00
_space_group_name_H-M_alt 'I m -3 m'
_space_group_IT_number 229
_space_group_name_Hall '-I 4 2 3'
loop_
_atom_site_label
_atom_site_type_symbol
_atom_site_fract_x
_atom_site_fract_y
_atom_site_fract_z
_atom_site_occupancy
Ge1 Ge 0.000 0.250 0.500 1
Ge2 Ge 0.168 0.168 0.168 1
Ir1 Ir 0.000 0.000 0.340 1
# * formation energy from the elements: -3.2 eV per formula unit